Y2Zn3Si5 | PBE-GGA | relaxed

The space group is Ibam (No. 72) and the conventional cell measures 10.142, 11.977 and 5.866 Å, with angles of 90.00, 90.00 and 90.00 degrees. Symmetry generates all atoms from Y at (0.239, 0.124, 0.000), Zn at (0.000, 0.500, 0.250), Zn at (0.111, 0.141, 0.500), Si at (0.000, 0.000, 0.250), Si at (0.000, 0.281, 0.250) and Si at (0.155, 0.384, 0.000).

The value obtained for the volume is 712.5 Å³/cell. As for the electronic total energy: -181.76 eV for the cell shown. The total magnetization comes out at 0.0008 μB/atom.